Below is an optimized crystal structure of Li3MnOF3, with properties calculated at the GGA+U level. Values from VASP.

Quantum ESPRESSO input file:
```
&SYSTEM
  ibrav = 0, nat = 16, ntyp = 4
/
ATOMIC_SPECIES
Li 6.94 Li.upf
F 19.00 F.upf
O 16.00 O.upf
Mn 54.94 Mn.upf
CELL_PARAMETERS angstrom
0.851 -0.907 5.037
3.138 0.868 4.040
-4.632 8.351 4.240
ATOMIC_POSITIONS angstrom
Li 1.994 -0.020 4.538
Li -1.151 2.084 1.070
F -1.809 5.911 6.372
Li 0.507 6.227 12.247
Li -3.112 7.397 6.028
O 1.508 3.576 9.822
O -2.152 4.736 3.494
Mn -0.733 3.159 3.942
F 0.223 0.499 1.399
F 1.165 2.401 6.945
Li 2.468 0.915 7.288
F -0.867 7.813 11.917
F 0.697 1.437 4.155
Li -0.322 4.156 6.658
Mn 0.089 5.153 9.375
F -1.340 6.875 9.162
```

Calculated volume: 9.731 Å³/atom
Size of the total moment: 0.625 μB per atom
Total DFT energy (no corrections): -87.99 eV for the cell shown